Record 1
Density functional theory data (PBE-GGA) for a relaxed Tl2Co3Br8 crystal.

Cell: 8.8081 8.8081 6.7395 Å, 104.52 104.52 52.25°
Closest atoms and distances in Å follow each position.
Sites, in units of the cell vectors:
Tl  0.2357  0.2357  0.1717  6 Br 3.23-3.40
Tl  0.7643  0.7643  0.8283  6 Br 3.23-3.40
Co  0.2480  0.7520  0.5000  6 Br 2.57-2.67
Co  0.5000  0.5000  0.0000  6 Br 2.56-2.66
Co  0.7520  0.2480  0.5000  6 Br 2.57-2.67
Br  0.1000  0.1000  0.4517  2 Co 2.57
Br  0.1766  0.6426  0.1161  2 Co 2.56-2.59
Br  0.3574  0.8234  0.8839  2 Co 2.56-2.59
Br  0.4060  0.4060  0.6052  3 Co 2.66-2.67
Br  0.5940  0.5940  0.3948  3 Co 2.66-2.67
Br  0.6426  0.1766  0.1161  2 Co 2.56-2.59
Br  0.8234  0.3574  0.8839  2 Co 2.56-2.59
Br  0.9000  0.9000  0.5483  2 Co 2.57

## Properties
SG ... No. 12
Raw formation energy ... -39.6 kJ per mole of atoms

Record 2
Density functional theory data (PBE-GGA) for a relaxed Li2PrBi crystal.

Cell: 4.6058 4.6058 4.9881 Å, 90.00 90.00 90.00°
Closest atoms and distances in Å follow each position.
Sites, in units of the cell vectors:
Li  0.0000  0.5000  0.0000  4 Li 3.26, 4 Pr 3.39, 4 Bi 3.39
Li  0.5000  0.0000  0.0000  4 Li 3.26, 4 Pr 3.39, 4 Bi 3.39
Pr  0.0000  0.0000  0.5000  4 Bi 3.26, 8 Li 3.39
Bi  0.5000  0.5000  0.5000  4 Pr 3.26, 8 Li 3.39

## Properties
Excess energy over the best structure of this formula in the dataset ... 0 meV/atom
SG ... No. 123

Record 3
Density functional theory data (PBE-GGA) for a relaxed Pr6Y8Th crystal.

Cell: 8.8325 8.8325 8.8325 Å, 62.56 62.56 62.56°
Closest atoms and distances in Å follow each position.
Sites, in units of the cell vectors:
Pr  0.0372  0.5960  0.7332  4 Y 3.43-3.65, 1 Th 3.51, 2 Pr 3.59
Pr  0.2668  0.9628  0.4040  4 Y 3.43-3.65, 1 Th 3.51, 2 Pr 3.59
Pr  0.4040  0.2668  0.9628  4 Y 3.43-3.65, 1 Th 3.51, 2 Pr 3.59
Pr  0.5960  0.7332  0.0372  4 Y 3.43-3.65, 1 Th 3.51, 2 Pr 3.59
Pr  0.7332  0.0372  0.5960  4 Y 3.43-3.65, 1 Th 3.51, 2 Pr 3.59
Pr  0.9628  0.4040  0.2668  4 Y 3.43-3.65, 1 Th 3.51, 2 Pr 3.59
Y  0.0776  0.0776  0.0776  4 Y 3.29-3.46, 3 Pr 3.51
Y  0.2090  0.6140  0.2634  3 Pr 3.43-3.65, 5 Y 3.46-3.52, 1 Th 3.55
Y  0.2634  0.2090  0.6140  3 Pr 3.43-3.65, 5 Y 3.46-3.52, 1 Th 3.55
Y  0.3860  0.7366  0.7910  3 Pr 3.43-3.65, 5 Y 3.46-3.52, 1 Th 3.55
Y  0.6140  0.2634  0.2090  3 Pr 3.43-3.65, 5 Y 3.46-3.52, 1 Th 3.55
Y  0.7366  0.7910  0.3860  3 Pr 3.43-3.65, 5 Y 3.46-3.52, 1 Th 3.55
Y  0.7910  0.3860  0.7366  3 Pr 3.43-3.65, 5 Y 3.46-3.52, 1 Th 3.55
Y  0.9224  0.9224  0.9224  4 Y 3.29-3.46, 3 Pr 3.51
Th  0.5000  0.5000  0.5000  6 Pr 3.51, 6 Y 3.55

## Properties
Excess energy over the best structure of this formula in the dataset ... 0 meV/atom
SG ... No. 148

Record 4
Density functional theory data (PBE-GGA) for a relaxed CsSrB3 crystal.

Cell: 5.4847 5.4847 5.4847 Å, 90.00 90.00 90.00°
Closest atoms and distances in Å follow each position.
Sites, in units of the cell vectors:
Cs  0.0000  0.0000  0.0000  12 B 3.88
Sr  0.5000  0.5000  0.5000  6 B 2.74
B  0.0000  0.5000  0.5000  2 Sr 2.74
B  0.5000  0.0000  0.5000  2 Sr 2.74
B  0.5000  0.5000  0.0000  2 Sr 2.74

## Properties
Excess energy over the best structure of this formula in the dataset ... 0 meV/atom
SG ... No. 221

What did the first record say?
Density functional theory data (PBE-GGA) for a relaxed Tl2Co3Br8 crystal.

Cell: 8.8081 8.8081 6.7395 Å, 104.52 104.52 52.25°
Closest atoms and distances in Å follow each position.
Sites, in units of the cell vectors:
Tl  0.2357  0.2357  0.1717  6 Br 3.23-3.40
Tl  0.7643  0.7643  0.8283  6 Br 3.23-3.40
Co  0.2480  0.7520  0.5000  6 Br 2.57-2.67
Co  0.5000  0.5000  0.0000  6 Br 2.56-2.66
Co  0.7520  0.2480  0.5000  6 Br 2.57-2.67
Br  0.1000  0.1000  0.4517  2 Co 2.57
Br  0.1766  0.6426  0.1161  2 Co 2.56-2.59
Br  0.3574  0.8234  0.8839  2 Co 2.56-2.59
Br  0.4060  0.4060  0.6052  3 Co 2.66-2.67
Br  0.5940  0.5940  0.3948  3 Co 2.66-2.67
Br  0.6426  0.1766  0.1161  2 Co 2.56-2.59
Br  0.8234  0.3574  0.8839  2 Co 2.56-2.59
Br  0.9000  0.9000  0.5483  2 Co 2.57

## Properties
SG ... No. 12
Raw formation energy ... -39.6 kJ per mole of atoms